{"formula": "Tc2Ni2Au", "functional": "PBE", "state": "optimized geometry", "magmom_total_mub_per_fu": 0.000, "de_polymorph_ev_per_atom": 0.000, "delta_e_f_ev_per_atom": 0.25, "e_tot_ev_per_cell": -68.61, "sg": "P4/mbm (127)", "lattice_angstrom": [[7.2658, 0.0000, 0.0000], [0.0000, 7.2658, 0.0000], [0.0000, 0.0000, 2.6440]], "species": ["Tc", "Tc", "Tc", "Tc", "Ni", "Ni", "Ni", "Ni", "Au", "Au"], "fractional_positions": [[0.1757, 0.3243, 0.0000], [0.3243, 0.8243, 0.0000], [0.6757, 0.1757, 0.0000], [0.8243, 0.6757, 0.0000], [0.1174, 0.6174, 0.5000], [0.3826, 0.1174, 0.5000], [0.6174, 0.8826, 0.5000], [0.8826, 0.3826, 0.5000], [0.0000, 0.0000, 0.5000], [0.5000, 0.5000, 0.5000]]}